[1]
CaHfTe2I | Alexandria | PBE | optimized geometry; formation energy (no corrections) = -0.595 eV per atom; density = 5.6 Mg/m³
1.0
5.632 0.000 0.000
0.000 5.632 0.000
0.000 0.000 5.599
Ca Hf Te I
1 1 2 1
direct
0.000 0.000 0.000 Ca
0.500 0.500 0.500 Hf
0.000 0.500 0.500 Te
0.500 0.000 0.500 Te
0.500 0.500 0.000 I

[2]
MnTe2P | Alexandria | PBE | optimized geometry; formation energy (no corrections) = 0.455 eV per atom; density = 4.9 Mg/m³
1.0
-1.905 3.860 3.911
1.905 -3.860 3.911
1.905 3.860 -3.911
Mn Te P
1 2 1
direct
0.000 0.000 0.000 Mn
0.252 0.500 0.752 Te
0.748 0.500 0.248 Te
0.500 0.000 0.500 P

[3]
LaTb2Ho8 | Alexandria | PBE | optimized geometry; energy relative to the elements = 120 meV per atom; density = 8.3 Mg/m³
1.0
-2.742 4.066 7.987
2.742 -4.066 7.987
2.742 4.066 -7.987
La Tb Ho
1 2 8
direct
0.000 0.000 0.000 La
0.301 0.301 0.000 Tb
0.699 0.699 0.000 Tb
0.153 0.859 0.294 Ho
0.163 0.663 0.500 Ho
0.296 0.500 0.796 Ho
0.435 0.141 0.294 Ho
0.565 0.859 0.706 Ho
0.704 0.500 0.204 Ho
0.837 0.337 0.500 Ho
0.847 0.141 0.706 Ho

[4]
NaZnCl2 | Alexandria | PBE | optimized geometry; formation energy (no corrections) = -0.820 eV per atom; density = 3.1 Mg/m³
1.0
0.000 3.497 3.497
3.497 0.000 3.497
3.497 3.497 0.000
Na Zn Cl
1 1 2
direct
0.000 0.000 0.000 Na
0.500 0.500 0.500 Zn
0.250 0.250 0.250 Cl
0.750 0.750 0.750 Cl

[5]
CsK3Mn4Cl12 | Alexandria | PBE | optimized geometry; formation energy (no corrections) = -1.379 eV per atom; density = 1.9 Mg/m³
1.0
7.691 4.440 3.839
-7.691 4.440 3.839
0.000 -8.880 3.839
Cs K Mn Cl
1 3 4 12
direct
0.000 0.000 0.000 Cs
0.000 0.551 0.449 K
0.449 0.000 0.551 K
0.551 0.449 0.000 K
0.054 0.500 0.946 Mn
0.500 0.500 0.500 Mn
0.500 0.946 0.054 Mn
0.946 0.054 0.500 Mn
0.049 0.652 0.801 Cl
0.094 0.906 0.500 Cl
0.199 0.348 0.951 Cl
0.348 0.951 0.199 Cl
0.352 0.648 0.500 Cl
0.500 0.094 0.906 Cl
0.500 0.352 0.648 Cl
0.648 0.500 0.352 Cl
0.652 0.801 0.049 Cl
0.801 0.049 0.652 Cl
0.906 0.500 0.094 Cl
0.951 0.199 0.348 Cl

[6]
Ac2Pr3S8 | Alexandria | PBE | optimized geometry; formation energy (no corrections) = -1.875 eV per atom; density = 5.3 Mg/m³
1.0
5.065 -7.219 0.000
5.065 7.219 0.000
0.000 0.000 4.838
Ac Pr S
2 3 8
direct
0.236 0.764 0.000 Ac
0.764 0.236 0.000 Ac
0.213 0.213 0.500 Pr
0.500 0.500 0.000 Pr
0.787 0.787 0.500 Pr
0.122 0.878 0.500 S
0.145 0.385 0.000 S
0.385 0.145 0.000 S
0.385 0.615 0.500 S
0.615 0.385 0.500 S
0.615 0.855 0.000 S
0.855 0.615 0.000 S
0.878 0.122 0.500 S

[7]
Nd2PuHg3 | Alexandria | PBE | optimized geometry; energy relative to the elements = -347 meV per atom; density = 11.3 Mg/m³
1.0
3.815 0.000 0.000
0.000 3.815 0.000
0.000 0.000 11.419
Nd Pu Hg
2 1 3
direct
0.000 0.000 0.168 Nd
0.000 0.000 0.832 Nd
0.000 0.000 0.500 Pu
0.500 0.500 0.000 Hg
0.500 0.500 0.335 Hg
0.500 0.500 0.665 Hg

[8]
Ac3Hg2Pt3 | Alexandria | PBE | optimized geometry; energy relative to the elements = -841 meV per atom; density = 12.1 Mg/m³
1.0
9.208 0.000 0.000
-4.604 7.975 0.000
0.000 0.000 6.238
Ac Hg Pt
6 4 6
direct
0.000 0.311 0.250 Ac
0.000 0.689 0.750 Ac
0.311 0.000 0.250 Ac
0.311 0.311 0.750 Ac
0.689 0.000 0.750 Ac
0.689 0.689 0.250 Ac
0.333 0.667 0.000 Hg
0.333 0.667 0.500 Hg
0.667 0.333 0.000 Hg
0.667 0.333 0.500 Hg
0.000 0.352 0.750 Pt
0.000 0.648 0.250 Pt
0.352 0.000 0.750 Pt
0.352 0.352 0.250 Pt
0.648 0.000 0.250 Pt
0.648 0.648 0.750 Pt